Density functional theory data (PBE) for a relaxed structure of Sr2AlGe4Pd3.

Results
E_tot	-0.1747	Ha/atom
ΔH_f (0 K)	-61.65	kJ/mol of atoms

Cell: 4.3251 4.3251 10.8866 Å, 90.00 90.00 90.00°
Fractional positions:
1 Sr 0.0000 0.5000 0.2466
2 Sr 0.5000 0.0000 0.7534
3 Al 0.0000 0.0000 0.5000
4 Ge 0.0000 0.0000 0.0000
5 Ge 0.0000 0.5000 0.6381
6 Ge 0.5000 0.0000 0.3619
7 Ge 0.5000 0.5000 0.0000
8 Pd 0.0000 0.5000 0.8722
9 Pd 0.5000 0.0000 0.1278
10 Pd 0.5000 0.5000 0.5000